[1]
Density functional theory data (GGA-PBEsol) for an optimized crystal structure of Mg2CuPb.

Cell and atoms, written as extended XYZ:
```
4
Lattice="-1.601 2.259 5.810 1.601 -2.259 5.810 1.601 2.259 -5.810" Properties=species:S:1:pos:R:3 pbc="T T T"
Mg 0.000 0.000 0.000
Mg 0.000 2.259 2.201
Cu 1.601 0.000 2.140
Pb 0.000 0.000 4.476
```

- density (kg/m³) = 6310
- space-group type = Imm2 (44)
- electronic total energy (hartree per atom) = -0.107
- magnetization (μB/atom) = 0.00



[2]
Density functional theory data (GGA-PBEsol) for an optimized crystal structure of Mg2CuRhPb.

Cell and atoms, written as extended XYZ:
```
5
Lattice="4.661 0.000 0.000 0.000 4.661 0.000 0.000 0.000 4.807" Properties=species:S:1:pos:R:3 pbc="T T T"
Mg 0.000 2.331 0.000
Mg 2.331 0.000 0.000
Cu 0.000 0.000 0.000
Rh 2.331 2.331 2.404
Pb 0.000 0.000 2.404
```

- density (kg/m³) = 6714
- space-group type = P4/mmm (123)
- electronic total energy (hartree per atom) = -0.126
- magnetization (μB/atom) = 0.00